PBE Co2Br, relaxed; SG = P6_3/mmc, No. 194; mass density = 7.77 Mg/m³; E_tot = -4.431 eV per atom; formation energy without anion corrections = 0.863 eV per atom; energy relative to the lowest polymorph listed for this composition = 868 meV per atom
1.0
4.323 0.000 0.000
-2.162 3.744 0.000
0.000 0.000 5.221
Co Br
4 2
Direct
0.000 0.000 0.000 Co
0.000 0.000 0.500 Co
0.333 0.667 0.250 Co
0.667 0.333 0.750 Co
0.333 0.667 0.750 Br
0.667 0.333 0.250 Br